First-principles (PBE) data for a geometry-optimized NaLuPdPt structure, as listed in Alexandria.

a b c (Å): 6.713 6.713 6.713
angles (deg): 90.00 90.00 90.00
Space group F-43m (No. 216)
Symmetry-distinct sites (fractional):
Na1 0.000 0.000 0.000 (multiplicity 4)
Lu1 0.000 0.000 0.500 (multiplicity 4)
Pd1 0.250 0.250 0.250 (multiplicity 4)
Pt1 0.250 0.250 0.750 (multiplicity 4)

---

First-principles (PBE) data for a geometry-optimized ErPuAg4 structure, as listed in Alexandria.

a b c (Å): 8.052 8.052 8.052
angles (deg): 90.00 90.00 90.00
Space group F-43m (No. 216)
Symmetry-distinct sites (fractional):
Er1 0.000 0.000 0.000 (multiplicity 4)
Pu1 0.250 0.250 0.250 (multiplicity 4)
Ag1 0.125 0.125 0.625 (multiplicity 16)

---

First-principles (PBE) data for a geometry-optimized AcCeSn3 structure, as listed in Alexandria.

a b c (Å): 7.4815 7.4815 6.6166
angles (deg): 90.00 90.00 120.00
Space group P6_3/mmc (No. 194)
Symmetry-distinct sites (fractional):
Ac1 0.3333 0.6667 0.2500 (multiplicity 2)
Ce1 0.0000 0.0000 0.0000 (multiplicity 2)
Sn1 0.2031 0.4062 0.7500 (multiplicity 6)

---

| no. | ΔE_f (eV/atom) |
| --- | --- |
| 1 | -0.6912 |
| 2 | -0.0384 |
| 3 | -0.4959 |